DFT (PBE) results for Rb2BiMoI6 after structural relaxation.

```
Rb2BiMoI6
1.0
-4.317 4.317 6.085
4.317 -4.317 6.085
4.317 4.317 -6.085
Rb Bi Mo I
2 1 1 6
Direct
0.250 0.750 0.500 Rb
0.750 0.250 0.500 Rb
0.000 0.000 0.000 Bi
0.500 0.500 0.000 Mo
0.262 0.262 0.000 I
0.263 0.263 0.526 I
0.263 0.737 0.000 I
0.737 0.263 0.000 I
0.737 0.737 0.474 I
0.738 0.738 0.000 I
```

Computed properties:
D(E_F) (states/eV/atom): 0.21
Symmetry: No. 139
E_form (uncorrected) (eV per atom): -0.552
DFT total energy (eV per cell): -31.47